Compound: LiAgOs
Source: Alexandria
Functional: PBE
Structure: optimized geometry

Cell: 2.704 2.704 7.159 Å, 90.00 90.00 120.00°
Atoms (fractional coordinates):
Li (0.000, 0.000, 0.000)
Ag (0.667, 0.333, 0.672)
Os (0.333, 0.667, 0.312)

Results
Its crystal system is trigonal. The space group is No. 156. The value obtained for the density of states at the Fermi level is 1.57 states/eV per cell. The calculation puts the energy above the most stable polymorph in this dataset at 0 meV/atom.


Compound: La4ZnPt3
Source: Alexandria
Functional: PBE
Structure: optimized geometry

Cell: 4.008 4.583 11.329 Å, 90.00 90.00 90.00°
Atoms (fractional coordinates):
La (0.000, 0.000, 0.000)
La (0.000, 0.500, 0.263)
La (0.500, 0.000, 0.485)
La (0.500, 0.500, 0.767)
Zn (0.000, 0.000, 0.701)
Pt (0.000, 0.500, 0.554)
Pt (0.500, 0.000, 0.221)
Pt (0.500, 0.500, 0.036)

Results
Its crystal system is orthorhombic. For the total energy, the calculation gives -46.89 eV/cell. The space group is No. 25. The value obtained for the density of states at the Fermi level is 6.25 states/eV per cell.


Compound: ScHgBi3
Source: Alexandria
Functional: PBE
Structure: optimized geometry

Cell: 5.622 5.622 5.622 Å, 90.00 90.00 90.00°
Atoms (fractional coordinates):
Sc (0.000, 0.000, 0.000)
Hg (0.500, 0.500, 0.500)
Bi (0.000, 0.000, 0.500)
Bi (0.000, 0.500, 0.000)
Bi (0.500, 0.000, 0.000)

Results
Its crystal system is cubic. The space group is No. 221. The value obtained for the density of states at the Fermi level is 3.86 states/eV per cell. The calculation puts the energy above the most stable polymorph in this dataset at 0 meV/atom.